Compound: Co3Ni2O8
Source: Alexandria via LeMat-Bulk
Functional: GGA+U
Structure: relaxed

Cell: 9.483 5.663 4.839 Å, 90.00 98.37 90.00°
Space group C2/m (No. 12)
Inequivalent atoms, fractional coordinates:
Co 0.000 0.000 0.000
Co 0.000 0.254 0.500
Ni 0.213 0.500 0.070
O 0.099 0.500 0.376
O 0.101 0.000 0.358
O 0.117 0.228 0.856

## Properties
Its energy is -5.43 eV per atom.